# AcPrTm2Bi4

A relaxed AcPrTm2Bi4 crystal (GGA-PBE, the Alexandria database).

DOS at the Fermi energy (states/eV/atom): 0.1476
Calculated total energy (Ry/atom): -0.370
Energy relative to the elements (eV/f.u.): -6.9
Space-group type: P2/m, No. 10

Lattice parameters (Å, degrees): 7.947 4.610 7.982 90.00 109.53 90.00
Atoms (fractional coordinates):
Ac1 0.000 0.000 0.000
Pr1 0.000 0.500 0.500
Tm1 0.500 0.000 0.500
Tm2 0.500 0.500 0.000
Bi1 0.268 0.000 0.751
Bi2 0.272 0.500 0.263
Bi3 0.728 0.500 0.737
Bi4 0.732 0.000 0.249